Record 1
Here is SrZrAsO2 after structural relaxation from Alexandria. Energies are from PBE-GGA.

abc: 4.3085 4.3085 5.4650
angles: 90.00 90.00 90.00
Last column: nearest neighbours and their distance in Å.
Space group P4/mmm (No. 123)
One atom of each set of equivalent atoms:
Sr1 0.0000 0.0000 0.0000 x1  2 As 2.73, 4 Zr 3.05
Zr1 0.5000 0.5000 0.0000 x1  4 Sr 3.05
As1 0.0000 0.0000 0.5000 x1  4 O 2.15
O1 0.0000 0.5000 0.5000 x2  2 As 2.15

Summary:
* D(E_F): 1.063 states/eV per atom
* V: 101.4 Å³/cell

---

Record 2
Here is SrZrAs2O8 after structural relaxation from Alexandria. Energies are from PBE-GGA.

abc: 5.5526 5.5526 7.1762
angles: 90.00 90.00 120.00
Last column: nearest neighbours and their distance in Å.
Space group P-3 (No. 147)
One atom of each set of equivalent atoms:
Sr1 0.0000 0.0000 0.0000 x1  6 O 2.75
Zr1 0.0000 0.0000 0.5000 x1  6 O 2.09
As1 0.3333 0.6667 0.7726 x2  4 O 1.68-1.72
O1 0.1502 0.3318 0.6880 x6  1 As 1.72
O2 0.3333 0.6667 0.0064 x2  1 As 1.68

Summary:
* D(E_F): 0.000 states/eV per atom
* V: 191.6 Å³/cell

---

Record 3
Here is SrZrAsO5 after structural relaxation from Alexandria. Energies are from PBE-GGA.

abc: 7.3982 9.3603 7.9821
angles: 90.00 117.06 90.00
Last column: nearest neighbours and their distance in Å.
Space group C2/c (No. 15)
One atom of each set of equivalent atoms:
Sr1 0.0000 0.1793 0.2500 x4  7 O 2.49-2.66
Zr1 0.0000 0.5000 0.0000 x4  6 O 2.06-2.18
As1 0.0000 0.1904 0.7500 x4  4 O 1.79-1.95
O1 0.0000 0.4450 0.2500 x4  2 Zr 2.06
O2 0.0999 0.2821 0.5896 x8  1 As 1.95, 1 Zr 2.18
O3 0.1861 0.0629 0.8948 x8  1 As 1.79

Summary:
* D(E_F): 0.291 states/eV per atom
* V: 492.2 Å³/cell

---

Record 4
Here is TaAs2O2 after structural relaxation from Alexandria. Energies are from PBE-GGA.

abc: 3.1482 3.1482 17.6161
angles: 90.00 90.00 90.00
Last column: nearest neighbours and their distance in Å.
Space group I4/mmm (No. 139)
One atom of each set of equivalent atoms:
Ta1 0.0000 0.0000 0.0000 x2  8 O 2.51
As1 0.0000 0.5000 0.2500 x4  4 As 2.23
O1 0.0000 0.0000 0.4344 x4  1 O 2.31, 4 Ta 2.51

Summary:
* D(E_F): 0.444 states/eV per atom
* excess energy over the best structure of this formula in the dataset: 568 kJ/mol of formula units
* V: 174.6 Å³/cell

---

Record 5
Here is TaAs2O2 after structural relaxation from Alexandria. Energies are from PBE-GGA.

abc: 5.3849 5.3849 6.0300
angles: 90.00 90.00 90.00
Last column: nearest neighbours and their distance in Å.
Space group P4/mbm (No. 127)
One atom of each set of equivalent atoms:
Ta1 0.0000 0.0000 0.0000 x2  4 O 1.94
As1 0.2467 0.2533 0.5000 x4  4 As 2.69
O1 0.1999 0.6999 0.0000 x4  2 Ta 1.94

Summary:
* D(E_F): 0.433 states/eV per atom
* excess energy over the best structure of this formula in the dataset: 0 kJ/mol of formula units
* V: 174.9 Å³/cell

---

Record 6
Here is TaAsO2 after structural relaxation from Alexandria. Energies are from PBE-GGA.

abc: 2.9001 2.9001 21.0591
angles: 90.00 90.00 120.00
Last column: nearest neighbours and their distance in Å.
Space group R-3m (No. 166, hexagonal axes)
One atom of each set of equivalent atoms:
Ta1 0.0000 0.0000 0.0000 x3  6 O 2.15
As1 0.0000 0.0000 0.5000 x3  2 O 2.17
O1 0.0000 0.0000 0.3971 x6  3 Ta 2.15, 1 As 2.17

Summary:
* D(E_F): 0.333 states/eV per atom
* V: 153.4 Å³/cell

---

Record 7
Here is TaAsO4 after structural relaxation from Alexandria. Energies are from PBE-GGA.

abc: 5.5196 11.8482 5.0685
angles: 90.00 90.00 90.00
Last column: nearest neighbours and their distance in Å.
Space group Pnna (No. 52)
One atom of each set of equivalent atoms:
Ta1 0.1199 0.2500 0.2500 x4  6 O 1.90-2.08
As1 0.2500 0.0000 0.6494 x4  2 O 1.85
O1 0.0841 0.0899 0.4117 x8  1 As 1.85
O2 0.1526 0.7011 0.5078 x8  2 Ta 1.90-2.03

Summary:
* D(E_F): 0.000 states/eV per atom
* V: 331.5 Å³/cell

---

Record 8
Here is TaAsO4 after structural relaxation from Alexandria. Energies are from PBE-GGA.

abc: 5.1470 5.5733 5.7008
angles: 90.00 101.01 90.00
Last column: nearest neighbours and their distance in Å.
Space group Pc (No. 7)
One atom of each set of equivalent atoms:
Ta1 0.0000 0.1613 0.0000 x2  4 O 1.92-1.99
As1 0.4499 0.3164 0.5861 x2  3 O 1.84-1.85
O1 0.2367 0.1124 0.7224 x2  1 As 1.85
O2 0.2461 0.4168 0.1148 x2  1 As 1.84, 1 Ta 1.94
O3 0.7122 0.3640 0.8532 x2  1 As 1.85, 1 Ta 1.92
O4 0.8479 0.1015 0.2784 x2  2 Ta 1.93-1.99

Summary:
* D(E_F): 0.000 states/eV per atom
* V: 160.5 Å³/cell

---

Record 9
Here is TaAsO4 after structural relaxation from Alexandria. Energies are from PBE-GGA.

abc: 3.9294 14.6429 5.6751
angles: 90.00 90.00 90.00
Last column: nearest neighbours and their distance in Å.
Space group Cmc2_1 (No. 36)
One atom of each set of equivalent atoms:
Ta1 0.0000 0.0913 0.0000 x4  6 O 1.90-2.04
As1 0.0000 0.3202 0.8912 x4  1 O 1.79
O1 0.0000 0.0161 0.7273 x4  2 Ta 1.90-2.03
O2 0.0000 0.1734 0.2899 x4  1 Ta 2.04, 2 As 2.05
O3 0.0000 0.2032 0.8015 x4  1 As 1.79, 1 Ta 1.99
O4 0.0000 0.3917 0.5765 x4  2 Ta 2.03, 1 As 2.07

Summary:
* D(E_F): 0.000 states/eV per atom
* V: 326.5 Å³/cell

---

Record 10
Here is TaAsO2 after structural relaxation from Alexandria. Energies are from PBE-GGA.

abc: 8.6491 8.6491 8.6491
angles: 90.00 90.00 90.00
Last column: nearest neighbours and their distance in Å.
Space group Fd-3m (No. 227, origin choice 2)
One atom of each set of equivalent atoms:
Ta1 0.1250 0.1250 0.1250 x8  4 O 1.87
As1 0.1250 0.1250 0.6250 x8  12 O 3.59, 4 Ta 3.75, 4 As 3.75
O1 0.0000 0.0000 0.0000 x16  2 Ta 1.87

Summary:
* D(E_F): 0.924 states/eV per atom
* V: 647.0 Å³/cell

---

Record 11
Here is Ta2As2O after structural relaxation from Alexandria. Energies are from PBE-GGA.

abc: 3.6883 3.6883 12.7768
angles: 90.00 90.00 90.00
Last column: nearest neighbours and their distance in Å.
Space group I4/mmm (No. 139)
One atom of each set of equivalent atoms:
Ta1 0.0000 0.0000 0.1035 x4  4 As 2.63, 1 Ta 2.64, 4 O 2.92
As1 0.0000 0.5000 0.2500 x4  4 As 2.61, 4 Ta 2.63
O1 0.0000 0.0000 0.5000 x2  8 Ta 2.92

Summary:
* D(E_F): 0.777 states/eV per atom
* excess energy over the best structure of this formula in the dataset: 429 kJ/mol of formula units
* V: 173.8 Å³/cell

---

Record 12
Here is Ta2As2O after structural relaxation from Alexandria. Energies are from PBE-GGA.

abc: 6.5845 6.5845 3.6226
angles: 90.00 90.00 90.00
Last column: nearest neighbours and their distance in Å.
Space group P4/mbm (No. 127)
One atom of each set of equivalent atoms:
Ta1 0.1584 0.3416 0.0000 x4  2 O 2.48, 6 As 2.58-2.69
As1 0.1441 0.6441 0.5000 x4  6 Ta 2.58-2.69, 1 As 2.68
O1 0.0000 0.0000 0.0000 x2  4 Ta 2.48

Summary:
* D(E_F): 0.538 states/eV per atom
* excess energy over the best structure of this formula in the dataset: 0 kJ/mol of formula units
* V: 157.1 Å³/cell

---

| no. | theoretical density (g/cm3) | spin magnetization (Bohr magnetons per cell) | raw formation energy (meV per atom) |
| --- | --- | --- | --- |
| 1 | 4.7 | 0.00 | 473 |
| 2 | 4.0 | 0.00 | -2105 |
| 3 | 4.5 | 2.86 | -2392 |
| 4 | 6.9 | 0.00 | 161 |
| 5 | 6.9 | 0.00 | -1017 |
| 6 | 9.3 | 0.00 | -1443 |
| 7 | 6.4 | 0.00 | -2120 |
| 8 | 6.6 | 0.00 | -2105 |
| 9 | 6.5 | 0.00 | -2068 |
| 10 | 5.9 | 0.00 | -1273 |
| 11 | 10.1 | 0.00 | 441 |
| 12 | 11.2 | 0.00 | -448 |